# Na2PmSe2 GGA-PBE relaxed
data_Na2PmSe2
_cell_length_a 4.2043
_cell_length_b 4.2043
_cell_length_c 30.9379
_cell_angle_alpha 90.00
_cell_angle_beta 90.00
_cell_angle_gamma 120.00
_space_group_name_H-M_alt 'R -3 m'
_space_group_IT_number 166
_space_group_name_Hall '-R 3 2"'
loop_
_atom_site_label
_atom_site_type_symbol
_atom_site_fract_x
_atom_site_fract_y
_atom_site_fract_z
Na1 Na 0.0000 0.0000 0.2216
Pm1 Pm 0.0000 0.0000 0.0000
Se1 Se 0.0000 0.0000 0.3882
# - D(E_F): 6.16 states/eV per cell
# - ΔE_f (raw): -1306 meV/atom
# - Total energy: -4.18 eV per atom
# - Magnetization: 0.0 μB per formula unit
# - Crystal system: trigonal


# Rb2Na6Sn GGA-PBE relaxed
data_Rb2Na6Sn
_cell_length_a 11.1013
_cell_length_b 11.1013
_cell_length_c 3.7883
_cell_angle_alpha 90.00
_cell_angle_beta 90.00
_cell_angle_gamma 120.00
_space_group_name_H-M_alt 'P -3 1 m'
_space_group_IT_number 162
_space_group_name_Hall '-P 3 2'
loop_
_atom_site_label
_atom_site_type_symbol
_atom_site_fract_x
_atom_site_fract_y
_atom_site_fract_z
Rb1 Rb 0.3333 0.6667 0.0000
Na1 Na 0.0000 0.2786 0.7623
Sn1 Sn 0.0000 0.0000 0.5000
# - D(E_F): 4.67 states/eV per cell
# - Total energy: -1.49 eV per atom
# - ΔE_f: 0.0452 eV/atom
# - Magnetization: 0.0 μB per formula unit
# - Crystal system: trigonal
# - Excess energy over the best structure of this formula in the dataset: 0.0782 eV per atom


# RbNpAgF6 GGA-PBE relaxed
data_RbNpAgF6
_cell_length_a 6.289
_cell_length_b 10.945
_cell_length_c 5.778
_cell_angle_alpha 90.00
_cell_angle_beta 90.07
_cell_angle_gamma 90.00
_space_group_name_H-M_alt 'C 1 2 1'
_space_group_IT_number 5
loop_
_space_group_symop_operation_xyz
'x,y,z'
'-x,y,-z'
'x+1/2,y+1/2,z'
'-x+1/2,y+1/2,-z'
loop_
_atom_site_label
_atom_site_type_symbol
_atom_site_fract_x
_atom_site_fract_y
_atom_site_fract_z
Rb1 Rb 0.000 0.000 0.000
Np1 Np 0.000 0.667 0.500
Ag1 Ag 0.000 0.334 0.500
F1 F 0.135 0.521 0.290
F2 F 0.151 0.807 0.290
F3 F 0.212 0.172 0.291
# - D(E_F): 24.20 states/eV per cell
# - ΔE_f (raw): -2805 meV/atom
# - Total energy: -5.91 eV per atom
# - Magnetization: 3.0 μB per formula unit
# - Crystal system: monoclinic